Record 1
Computed, not measured: crystalline Ga2Hg2Rh at its relaxed geometry at the PBE-GGA level of DFT.

Cell: 3.6103 3.6103 8.1479 Å, 77.20 77.20 90.00°
Positions (direct):
Ga1 0.2500 0.7500 0.5000
Ga2 0.7500 0.2500 0.5000
Rh1 0.0000 0.0000 0.0000
Hg1 0.4066 0.4066 0.1869
Hg2 0.5934 0.5934 0.8131

ΔE_f ... 1.45 eV/f.u.
Total magnetization ... 0.00 μB/cell
Symmetry ... I4/mmm, No. 139
Energy ... -12.6 eV per cell
Energy above the most stable polymorph in this dataset ... 208 meV per atom


Record 2
Computed, not measured: crystalline Ga2Hg2Rh at its relaxed geometry at the PBE-GGA level of DFT.

Cell: 6.6230 6.6230 4.4683 Å, 90.00 90.00 90.00°
Positions (direct):
Rh1 0.5000 0.5000 0.0000
Rh2 0.0000 0.0000 0.0000
Hg1 0.3264 0.1736 0.5000
Hg2 0.1736 0.6736 0.5000
Hg3 0.8264 0.3264 0.5000
Hg4 0.6736 0.8264 0.5000
Ga1 0.3558 0.8558 0.0000
Ga2 0.8558 0.6442 0.0000
Ga3 0.6442 0.1442 0.0000
Ga4 0.1442 0.3558 0.0000

ΔE_f ... 0.41 eV/f.u.
Total magnetization ... 0.00 μB/cell
Symmetry ... P4/mbm, No. 127
Energy ... -27.2 eV per cell
Energy above the most stable polymorph in this dataset ... 0 meV per atom


Record 3
Computed, not measured: crystalline GaHg3Rh at its relaxed geometry at the PBE-GGA level of DFT.

Cell: 5.0866 5.0866 5.0866 Å, 90.00 90.00 90.00°
Positions (direct):
Hg1 0.0000 0.0000 0.5000
Hg2 0.0000 0.5000 0.0000
Hg3 0.5000 0.0000 0.0000
Ga1 0.0000 0.0000 0.0000
Rh1 0.5000 0.5000 0.5000

ΔE_f ... 4.08 eV/f.u.
Total magnetization ... 0.72 μB/cell
Symmetry ... Pm-3m, No. 221
Energy ... -7.2 eV per cell
Energy above the most stable polymorph in this dataset ... 552 meV per atom


Record 4
Computed, not measured: crystalline GaHg4Rh2 at its relaxed geometry at the PBE-GGA level of DFT.

Cell: 5.2102 5.2102 7.6710 Å, 70.15 70.15 90.00°
Positions (direct):
Hg1 0.2085 0.2085 0.5829
Hg2 0.5000 0.0000 0.0000
Hg3 0.0000 0.5000 0.0000
Hg4 0.7915 0.7915 0.4171
Rh1 0.5911 0.5911 0.8178
Rh2 0.4089 0.4089 0.1822
Ga1 0.0000 0.0000 0.0000

ΔE_f ... 3.70 eV/f.u.
Total magnetization ... 1.82 μB/cell
Symmetry ... I4/mmm, No. 139
Energy ... -15.2 eV per cell


Record 5
Computed, not measured: crystalline GaHgRh3 at its relaxed geometry at the PBE-GGA level of DFT.

Cell: 4.5709 4.5709 4.5709 Å, 90.00 90.00 90.00°
Positions (direct):
Rh1 0.0000 0.5000 0.0000
Rh2 0.5000 0.0000 0.0000
Rh3 0.0000 0.0000 0.5000
Ga1 0.0000 0.0000 0.0000
Hg1 0.5000 0.5000 0.5000

ΔE_f ... 2.95 eV/f.u.
Total magnetization ... 1.69 μB/cell
Symmetry ... Pm-3m, No. 221
Energy ... -22.4 eV per cell
Energy above the most stable polymorph in this dataset ... 0 meV per atom


Record 6
Computed, not measured: crystalline Ga2HgRh at its relaxed geometry at the PBE-GGA level of DFT.

Cell: 3.0877 3.0877 9.0013 Å, 84.08 84.08 62.27°
Positions (direct):
Ga1 0.1316 0.1316 0.7988
Ga2 0.3685 0.3685 0.2013
Rh1 0.7501 0.7501 0.0000
Hg1 0.2498 0.2498 0.5000

ΔE_f ... -0.98 eV/f.u.
Total magnetization ... 0.00 μB/cell
Symmetry ... C2/m, No. 12
Energy ... -14.7 eV per cell


Record 7
Computed, not measured: crystalline GaHgRhS2 at its relaxed geometry at the PBE-GGA level of DFT.

Cell: 4.6402 4.8785 4.6402 Å, 90.00 90.00 90.00°
Positions (direct):
S1 0.0000 0.0000 0.5000
S2 0.5000 0.0000 0.0000
Hg1 0.5000 0.5000 0.5000
Ga1 0.0000 0.0000 0.0000
Rh1 0.0000 0.5000 0.0000

Total magnetization ... 0.00 μB/cell
Symmetry ... P4/mmm, No. 123
Energy ... -16.0 eV per cell
Formation energy without anion corrections ... 2.93 eV per formula unit


Record 8
Computed, not measured: crystalline Sc4Ga2HgRh at its relaxed geometry at the PBE-GGA level of DFT.

Cell: 4.7777 4.7777 8.2476 Å, 73.16 73.16 60.00°
Positions (direct):
Hg1 0.0000 0.0000 0.0000
Rh1 0.5000 0.5000 0.5000
Sc1 0.6189 0.6189 0.1433
Sc2 0.8710 0.8710 0.3870
Sc3 0.3811 0.3811 0.8567
Sc4 0.1290 0.1290 0.6130
Ga1 0.2511 0.2511 0.2467
Ga2 0.7489 0.7489 0.7533

ΔE_f ... -5.12 eV/f.u.
Total magnetization ... 0.00 μB/cell
Symmetry ... R-3m, No. 166
Energy ... -44.2 eV per cell